! K2VTcO6 PBE with a Hubbard U relaxed; values from VASP
&SYSTEM
  ibrav = 0, nat = 10, ntyp = 4
/
ATOMIC_SPECIES
K 39.10 K.upf
V 50.94 V.upf
Tc 98.00 Tc.upf
O 16.00 O.upf
CELL_PARAMETERS angstrom
5.4912 0.0000 0.0000
0.0000 5.4912 0.0000
0.0000 0.0000 3.9537
ATOMIC_POSITIONS angstrom
K 0.0000 2.7456 0.0000
K 2.7456 0.0000 0.0000
V 0.0000 0.0000 1.8372
Tc 2.7456 2.7456 2.0285
O 0.0000 0.0000 0.0856
O 1.3601 1.3601 2.0005
O 1.3601 4.1311 2.0005
O 2.7456 2.7456 0.0207
O 4.1311 1.3601 2.0005
O 4.1311 4.1311 2.0005
! DOS(E_F) (states/eV/atom): 0.469
! Volume (Å³/cell): 119.2
! E (eV/atom): -6.672